This record from Alexandria describes a relaxed structure of PrNd2Y6Er2. The functional is PBE-GGA.

SG   C2/m
Mass density   5.82 g/cm³
Size of the total moment   0.0 μB/f.u.
V   370.1 Å³/cell
Calculated total energy   -60.6 eV/cell
ΔE_f   0.15 eV per atom

Lattice parameters (Å, degrees): 6.6776 6.6776 10.7328 90.02 90.02 129.35
Last column: nearest neighbours and their distance in Å.
Sites, in units of the cell vectors:
Pr1 0.0000 0.0000 0.0000  8 Y 3.60-3.65, 6 Er 3.61-3.75
Nd1 0.3645 0.6355 0.5000  1 Nd 3.27, 8 Y 3.41-3.66
Nd2 0.6355 0.3645 0.5000  1 Nd 3.27, 8 Y 3.41-3.66
Y1 0.1540 0.8451 0.2874  3 Nd 3.41-3.66, 5 Y 3.51-3.73, 1 Er 3.54, 1 Pr 3.60
Y2 0.1549 0.8460 0.7126  3 Nd 3.41-3.66, 5 Y 3.51-3.73, 1 Er 3.54, 1 Pr 3.60
Y3 0.4995 0.4995 0.2112  2 Er 3.32, 2 Nd 3.50, 4 Y 3.51, 2 Pr 3.64-3.65
Y4 0.5005 0.5005 0.7888  2 Er 3.32, 2 Nd 3.50, 4 Y 3.51, 2 Pr 3.64-3.65
Y5 0.8451 0.1540 0.2874  3 Nd 3.41-3.66, 5 Y 3.51-3.73, 1 Er 3.54, 1 Pr 3.60
Y6 0.8460 0.1549 0.7126  3 Nd 3.41-3.66, 5 Y 3.51-3.73, 1 Er 3.54, 1 Pr 3.60
Er1 0.2991 0.7009 0.0000  2 Er 3.09, 2 Y 3.32
Er2 0.7009 0.2991 0.0000  2 Er 3.09, 2 Y 3.32

---

This record from Alexandria describes a relaxed structure of CsRbFe2Os. The functional is PBE-GGA.

SG   P4/mmm
Mass density   6.85 g/cm³
Size of the total moment   6.9 μB/f.u.
V   126.2 Å³/cell
Calculated total energy   -15.2 eV/cell
ΔE_f   2.96 eV per atom

Lattice parameters (Å, degrees): 4.9568 4.9568 5.1366 90.00 90.00 90.00
Last column: nearest neighbours and their distance in Å.
Sites, in units of the cell vectors:
Cs1 0.0000 0.0000 0.0000  4 Os 3.50, 8 Fe 3.57
Rb1 0.5000 0.5000 0.5000  4 Fe 2.48, 2 Os 2.57
Fe1 0.0000 0.5000 0.5000  2 Rb 2.48
Fe2 0.5000 0.0000 0.5000  2 Rb 2.48
Os1 0.5000 0.5000 0.0000  2 Rb 2.57

---

This record from Alexandria describes a relaxed structure of La8Ru2C. The functional is PBE-GGA.

SG   C2/m
Mass density   6.63 g/cm³
Size of the total moment   0.0 μB/f.u.
V   332.0 Å³/cell
Calculated total energy   -68.9 eV/cell
ΔE_f   -0.15 eV per atom

Lattice parameters (Å, degrees): 9.6375 9.6375 9.0918 92.28 92.28 23.17
Last column: nearest neighbours and their distance in Å.
Sites, in units of the cell vectors:
La1 0.0155 0.0155 0.1942  2 C 2.63
La2 0.2244 0.2244 0.3351  2 Ru 3.02
La3 0.3607 0.3607 0.0370  1 C 2.67, 2 Ru 2.94
La4 0.4015 0.4015 0.4591  2 Ru 2.76
La5 0.5985 0.5985 0.5409  2 Ru 2.76
La6 0.6393 0.6393 0.9630  1 C 2.67, 2 Ru 2.94
La7 0.7756 0.7756 0.6649  2 Ru 3.02
La8 0.9845 0.9845 0.8058  2 C 2.63
Ru1 0.1575 0.1575 0.7241  6 La 2.76-3.02
Ru2 0.8425 0.8425 0.2759  6 La 2.76-3.02
C1 0.5000 0.5000 0.0000  6 La 2.63-2.67

---

This record from Alexandria describes a relaxed structure of SrCaBeO3. The functional is PBE-GGA.

SG   C2/m
Raw formation energy   -2.4878 eV/atom
Mass density   3.96 g/cm³
Size of the total moment   0.0 μB/f.u.
V   154.7 Å³/cell
Calculated total energy   -74.4 eV/cell

Lattice parameters (Å, degrees): 6.4037 6.4037 6.8307 105.38 105.38 35.11
Last column: nearest neighbours and their distance in Å.
Sites, in units of the cell vectors:
Sr1 0.1465 0.1465 0.0757  7 O 2.49-2.63
Sr2 0.8535 0.8535 0.9243  7 O 2.49-2.63
Ca1 0.1455 0.1455 0.5705  7 O 2.31-2.55
Ca2 0.8545 0.8545 0.4295  7 O 2.31-2.55
Be1 0.4987 0.4987 0.7333  2 O 1.67-1.69
Be2 0.5013 0.5013 0.2667  2 O 1.67-1.69
O1 0.0009 0.0009 0.2695  2 Be 1.93
O2 0.3544 0.3544 0.6683  1 Be 1.69
O3 0.3589 0.3589 0.1882  1 Be 1.67
O4 0.6411 0.6411 0.8118  1 Be 1.67
O5 0.6456 0.6456 0.3317  1 Be 1.69
O6 0.9991 0.9991 0.7305  2 Be 1.93

---

What is the formula in the fourth record? SrCaBeO3

---

Which of these has the lowest V? CsRbFe2Os